VASP calculation (PBE) on a relaxed structure of LiSm2Sn3.

Computed properties:
density	6.589	Mg/m³
VASP energy	-4.33	eV per atom
DFT formation energy	-0.43	eV/atom

a = 3.5409 Å, b = 5.4624 Å, c = 17.2972 Å
α = 90.00°, β = 90.00°, γ = 90.00°
Space group Immm (No. 71)
Inequivalent atoms, fractional coordinates:
1 Li 0.0000 0.0000 0.0000 [2 per cell]
2 Sm 0.0000 0.0000 0.3440 [4 per cell]
3 Sn 0.0000 0.0000 0.1616 [4 per cell]
4 Sn 0.0000 0.5000 0.0000 [2 per cell]